# InPIr2 | the Alexandria database | PBE | relaxed
data_InPIr2
_chemical_formula_sum 'In2 P2 Ir4'
_cell_length_a 5.7674
_cell_length_b 8.8814
_cell_length_c 2.9382
_cell_angle_alpha 90.00
_cell_angle_beta 120.32
_cell_angle_gamma 90.00
_space_group_name_H-M_alt 'C 1 2/m 1'
_space_group_IT_number 12
_space_group_name_Hall '-C 2y'
loop_
_atom_site_label
_atom_site_fract_x
_atom_site_fract_y
_atom_site_fract_z
_atom_site_occupancy
In1 0.0000 0.0000 0.0000 1
P1 0.0000 0.5000 0.0000 1
Ir1 0.2500 0.2500 0.0000 1
# Excess energy over the best structure of this formula in the dataset, meV/atom: 516.3
# DOS at the Fermi energy, states/eV per atom: 0.68
# Uncorrected energy, eV per formula unit: -24.323
# Magnetic moment, μB/f.u.: 0.00
# Energy of formation from the pure elements, eV/atom: 0.387

---

# In2PIr | the Alexandria database | PBE | relaxed
data_In2PIr
_chemical_formula_sum 'In4 P2 Ir2'
_cell_length_a 3.0155
_cell_length_b 4.5896
_cell_length_c 11.8889
_cell_angle_alpha 90.00
_cell_angle_beta 90.00
_cell_angle_gamma 90.00
_space_group_name_H-M_alt 'I m m 2'
_space_group_IT_number 44
_space_group_name_Hall 'I 2 -2'
loop_
_atom_site_label
_atom_site_fract_x
_atom_site_fract_y
_atom_site_fract_z
_atom_site_occupancy
In1 0.0000 0.0000 0.0000 1
In2 0.0000 0.5000 0.1968 1
P1 0.0000 0.0000 0.3913 1
Ir1 0.0000 0.5000 0.7386 1
# DOS at the Fermi energy, states/eV per atom: 0.44
# Uncorrected energy, eV per formula unit: -19.832
# Magnetic moment, μB/f.u.: 0.00
# Energy of formation from the pure elements, eV/atom: -0.021

---

# InP2Ir | the Alexandria database | PBE | relaxed
data_InP2Ir
_chemical_formula_sum 'In2 P4 Ir2'
_cell_length_a 5.3542
_cell_length_b 7.1134
_cell_length_c 3.4857
_cell_angle_alpha 90.00
_cell_angle_beta 90.00
_cell_angle_gamma 90.00
_space_group_name_H-M_alt 'C m m m'
_space_group_IT_number 65
_space_group_name_Hall '-C 2 2'
loop_
_atom_site_label
_atom_site_fract_x
_atom_site_fract_y
_atom_site_fract_z
_atom_site_occupancy
In1 0.0000 0.0000 0.0000 1
P1 0.2500 0.2500 0.5000 1
Ir1 0.0000 0.5000 0.0000 1
# DOS at the Fermi energy, states/eV per atom: 0.46
# Uncorrected energy, eV per formula unit: -20.682
# Magnetic moment, μB/f.u.: 0.00
# Energy of formation from the pure elements, eV/atom: 0.434

---

# In2PIr | the Alexandria database | PBE | relaxed
data_In2PIr
_chemical_formula_sum 'In6 P3 Ir3'
_cell_length_a 3.5445
_cell_length_b 3.5445
_cell_length_c 23.6762
_cell_angle_alpha 90.00
_cell_angle_beta 90.00
_cell_angle_gamma 120.00
_space_group_name_H-M_alt 'R 3 m'
_space_group_IT_number 160
_space_group_name_Hall 'R 3 -2"'
loop_
_atom_site_label
_atom_site_fract_x
_atom_site_fract_y
_atom_site_fract_z
_atom_site_occupancy
In1 0.0000 0.0000 0.0000 1
In2 0.0000 0.0000 0.2288 1
P1 0.0000 0.0000 0.4627 1
Ir1 0.0000 0.0000 0.7525 1
# DOS at the Fermi energy, states/eV per atom: 0.44
# Uncorrected energy, eV per formula unit: -20.232
# Magnetic moment, μB/f.u.: 0.00
# Energy of formation from the pure elements, eV/atom: -0.121

---

# InP2Ir | the Alexandria database | PBE | relaxed
data_InP2Ir
_chemical_formula_sum 'In1 P2 Ir1'
_cell_length_a 2.9327
_cell_length_b 4.7201
_cell_length_c 4.8007
_cell_angle_alpha 90.00
_cell_angle_beta 90.00
_cell_angle_gamma 90.00
_space_group_name_H-M_alt 'P m m m'
_space_group_IT_number 47
_space_group_name_Hall '-P 2 2'
loop_
_atom_site_label
_atom_site_fract_x
_atom_site_fract_y
_atom_site_fract_z
_atom_site_occupancy
In1 0.0000 0.0000 0.0000 1
P1 0.0000 0.5000 0.5000 1
P2 0.5000 0.0000 0.5000 1
Ir1 0.5000 0.5000 0.0000 1
# DOS at the Fermi energy, states/eV per atom: 0.51
# Uncorrected energy, eV per formula unit: -20.293
# Magnetic moment, μB/f.u.: 0.00
# Energy of formation from the pure elements, eV/atom: 0.531

---

# In2PIr | the Alexandria database | PBE | relaxed
data_In2PIr
_chemical_formula_sum 'In2 P1 Ir1'
_cell_length_a 2.9411
_cell_length_b 3.3226
_cell_length_c 8.3582
_cell_angle_alpha 90.00
_cell_angle_beta 90.00
_cell_angle_gamma 90.00
_space_group_name_H-M_alt 'P m m 2'
_space_group_IT_number 25
_space_group_name_Hall 'P 2 -2'
loop_
_atom_site_label
_atom_site_fract_x
_atom_site_fract_y
_atom_site_fract_z
_atom_site_occupancy
In1 0.0000 0.0000 0.0000 1
In2 0.5000 0.5000 0.3363 1
P1 0.0000 0.0000 0.6187 1
Ir1 0.5000 0.5000 0.7396 1
# DOS at the Fermi energy, states/eV per atom: 0.49
# Uncorrected energy, eV per formula unit: -19.820
# Magnetic moment, μB/f.u.: 0.00
# Energy of formation from the pure elements, eV/atom: -0.018

---

# In2PIr | the Alexandria database | PBE | relaxed
data_In2PIr
_chemical_formula_sum 'In4 P2 Ir2'
_cell_length_a 6.1648
_cell_length_b 7.8537
_cell_length_c 3.0213
_cell_angle_alpha 90.00
_cell_angle_beta 90.00
_cell_angle_gamma 90.00
_space_group_name_H-M_alt 'C m m m'
_space_group_IT_number 65
_space_group_name_Hall '-C 2 2'
loop_
_atom_site_label
_atom_site_fract_x
_atom_site_fract_y
_atom_site_fract_z
_atom_site_occupancy
In1 0.2500 0.2500 0.0000 1
P1 0.0000 0.0000 0.5000 1
Ir1 0.0000 0.5000 0.5000 1
# DOS at the Fermi energy, states/eV per atom: 0.38
# Uncorrected energy, eV per formula unit: -18.745
# Magnetic moment, μB/f.u.: 0.00
# Energy of formation from the pure elements, eV/atom: 0.251

---

# InPIr2 | the Alexandria database | PBE | relaxed
data_InPIr2
_chemical_formula_sum 'In1 P1 Ir2'
_cell_length_a 3.2972
_cell_length_b 3.2972
_cell_length_c 6.1252
_cell_angle_alpha 90.00
_cell_angle_beta 90.00
_cell_angle_gamma 90.00
_space_group_name_H-M_alt 'P 4 m m'
_space_group_IT_number 99
_space_group_name_Hall 'P 4 -2'
loop_
_atom_site_label
_atom_site_fract_x
_atom_site_fract_y
_atom_site_fract_z
_atom_site_occupancy
In1 0.0000 0.0000 0.0000 1
P1 0.5000 0.5000 0.6414 1
Ir1 0.0000 0.0000 0.5411 1
Ir2 0.5000 0.5000 0.2519 1
# Excess energy over the best structure of this formula in the dataset, meV/atom: 138.2
# DOS at the Fermi energy, states/eV per atom: 0.92
# Uncorrected energy, eV per formula unit: -25.835
# Magnetic moment, μB/f.u.: 0.10
# Energy of formation from the pure elements, eV/atom: 0.009